VASP calculation (SCAN) on Mo2RhBr at its PBEsol-relaxed geometry.

The uncorrected formation energy comes out at 0.973 eV/atom.

The space group is P4/mmm (No. 123) and the conventional cell measures 3.679, 3.679 and 4.611 Å, with angles of 90.00, 90.00 and 90.00 degrees. The inequivalent atoms are Mo at (0.000, 0.500, 0.000), Rh at (0.000, 0.000, 0.500) and Br at (0.500, 0.500, 0.500).